# BaTiSnBi2

Crystalline BaTiSnBi2 at its relaxed geometry (GGA-PBE, the Alexandria database).

```
5
Lattice="5.550 0.000 0.000 0.000 5.550 0.000 0.000 0.000 5.377" Properties=species:S:1:pos:R:3 pbc="T T T"
Ba 0.000 0.000 0.000
Ti 2.775 2.775 2.689
Sn 2.775 2.775 0.000
Bi 0.000 2.775 2.689
Bi 2.775 0.000 2.689
```

## Properties
formation enthalpy at 0 K: -0.329 eV/atom
space group: P4/mmm


# SiSb2Te

Crystalline SiSb2Te at its relaxed geometry (GGA-PBE, the Alexandria database).

```
4
Lattice="2.969 -4.332 0.000 2.969 4.332 0.000 0.000 0.000 4.161" Properties=species:S:1:pos:R:3 pbc="T T T"
Si 0.000 0.000 0.000
Sb 2.969 2.436 2.081
Sb 2.969 -2.436 2.081
Te 2.969 0.000 0.000
```

## Properties
space group: Cmmm
offset from the most stable computed form: 0.28 eV per formula unit


# ScH6Pd5

Crystalline ScH6Pd5 at its relaxed geometry (GGA-PBE, the Alexandria database).

```
12
Lattice="5.120 0.000 0.000 -2.471 4.489 0.000 -0.916 -1.561 4.814" Properties=species:S:1:pos:R:3 pbc="T T T"
Sc 0.000 0.000 0.000
H -0.732 1.808 1.201
H -0.018 0.019 3.329
H 1.997 0.114 1.122
H -0.264 2.814 3.692
H 1.751 2.909 1.485
H 2.465 1.120 3.613
Pd -1.722 2.991 2.396
Pd 0.039 3.015 0.005
Pd 0.866 1.464 2.407
Pd 1.694 -0.087 4.809
Pd 3.455 -0.063 2.417
```

## Properties
space group: P-1
total DFT energy (no corrections): -4.66 eV per atom


| no. | volume (Å³/f.u.) | magnetization (μB/f.u.) |
| --- | --- | --- |
| 1 | 165.6 | 0.0 |
| 2 | 107.1 | 0.0 |
| 3 | 110.7 | 0.0 |